1.
Material: TlP2CO
Method: DFT, PBE
State: optimized geometry

Structure (POSCAR):
```
TlP2CO
1.0
-0.088 -4.060 -3.164
3.780 2.097 -2.796
2.745 -1.863 2.313
C P O Tl
1 2 1 1
Direct
0.500 0.500 0.500 C
0.500 0.000 0.000 P
0.000 0.500 0.000 P
0.000 0.000 0.500 O
0.000 0.000 0.000 Tl
```

## Properties
raw formation energy = 2.377 eV per atom
space-group type = P4/mmm, No. 123
distance to the lowest polymorph of the same formula = 122.4 kJ per mole of atoms



2.
Material: AuO2F2
Method: DFT, PBE
State: optimized geometry

Structure (POSCAR):
```
AuO2F2
1.0
3.540 0.000 0.000
0.000 3.540 0.000
0.000 0.000 4.863
F O Au
2 2 1
Direct
0.000 0.000 0.000 F
0.000 0.000 0.500 F
0.000 0.500 0.000 O
0.500 0.000 0.000 O
0.500 0.500 0.500 Au
```

## Properties
raw formation energy = 0.984 eV per atom
space-group type = P4/mmm, No. 123
distance to the lowest polymorph of the same formula = 134.1 kJ per mole of atoms



3.
Material: Ca2YPb
Method: DFT, PBE
State: optimized geometry

Structure (POSCAR):
```
Ca2YPb
1.0
-4.691 -3.885 -2.143
0.795 -2.492 -5.904
3.551 0.512 5.369
Ca Pb Y
2 1 1
Direct
0.000 0.000 0.000 Ca
0.500 0.500 0.000 Ca
0.250 0.750 0.500 Pb
0.750 0.250 0.500 Y
```

## Properties
space-group type = I4/mmm, No. 139
ΔH_f (0 K) = -0.9 eV/f.u.



4.
Material: CsHfGa3
Method: DFT, PBE
State: optimized geometry

Structure (POSCAR):
```
CsHfGa3
1.0
-2.598 -3.479 -3.454
3.891 0.914 -3.848
2.982 -4.224 2.012
Hf Ga Cs
1 3 1
Direct
0.500 0.500 0.500 Hf
0.500 0.000 0.000 Ga
0.000 0.500 0.000 Ga
0.000 0.000 0.500 Ga
0.000 0.000 0.000 Cs
```

## Properties
space-group type = Pm-3m, No. 221
ΔH_f (0 K) = 8.9 eV/f.u.



5.
Material: ZrGa2Rh
Method: DFT, PBE
State: optimized geometry

Structure (POSCAR):
```
ZrGa2Rh
1.0
5.296 0.000 0.000
0.000 6.442 0.000
0.000 0.000 8.030
Ga Rh Zr
8 4 4
Direct
0.371 0.954 0.310 Ga
0.129 0.954 0.810 Ga
0.371 0.546 0.310 Ga
0.871 0.454 0.190 Ga
0.871 0.046 0.190 Ga
0.129 0.546 0.810 Ga
0.629 0.454 0.690 Ga
0.629 0.046 0.690 Ga
0.365 0.750 0.586 Rh
0.135 0.750 0.086 Rh
0.635 0.250 0.414 Rh
0.865 0.250 0.914 Rh
0.621 0.750 0.962 Zr
0.379 0.250 0.038 Zr
0.121 0.250 0.538 Zr
0.879 0.750 0.462 Zr
```

## Properties
space-group type = Pnma, No. 62
ΔH_f (0 K) = -2.6 eV/f.u.



6.
Material: Ac3Sm2Sn4
Method: DFT, PBE
State: optimized geometry

Structure (POSCAR):
```
Ac3Sm2Sn4
1.0
-4.423 -2.114 -0.931
4.800 -2.391 -3.997
1.512 -6.660 7.942
Sm Ac Sn
2 3 4
Direct
0.319 0.638 0.198 Sm
0.681 0.362 0.802 Sm
0.625 0.250 0.403 Ac
0.000 0.000 0.000 Ac
0.375 0.750 0.597 Ac
0.671 0.342 0.101 Sn
0.915 0.831 0.371 Sn
0.329 0.658 0.899 Sn
0.085 0.169 0.629 Sn
```

## Properties
space-group type = C2/m, No. 12
ΔH_f (0 K) = -5.3 eV/f.u.